Entry from Alexandria via LeMat-Bulk: a relaxed structure of Dy4AlInHg2 (GGA-PBE).

Energy (eV per atom): -3.624
Energy of formation from the pure elements (eV per atom): -0.437
Crystal system: trigonal

Unit cell a=5.249 b=5.249 c=9.104 alpha=73.25 beta=73.25 gamma=60.00
Fractional coordinates of all 8 atoms:
Dy (0.128, 0.128, 0.617)
In (0.000, 0.000, 0.000)
Dy (0.872, 0.872, 0.383)
Dy (0.622, 0.622, 0.133)
Hg (0.750, 0.750, 0.750)
Hg (0.250, 0.250, 0.250)
Dy (0.378, 0.378, 0.867)
Al (0.500, 0.500, 0.500)

=====

Entry from Alexandria via LeMat-Bulk: a relaxed structure of LaDyAlHg (GGA-PBE).

Energy (eV per atom): -3.784
Energy of formation from the pure elements (eV per atom): -0.390
Relative energy among the computed polymorphs (eV per formula unit): 0.21
Crystal system: cubic

Unit cell a=5.356 b=5.356 c=5.356 alpha=60.00 beta=60.00 gamma=60.00
Fractional coordinates of all 4 atoms:
Hg (0.750, 0.750, 0.750)
La (0.500, 0.500, 0.500)
Al (0.250, 0.250, 0.250)
Dy (0.000, 0.000, 0.000)

=====

Entry from Alexandria via LeMat-Bulk: a relaxed structure of LaDyAlHg (GGA-PBE).

Energy (eV per atom): -3.835
Energy of formation from the pure elements (eV per atom): -0.442
Relative energy among the computed polymorphs (eV per formula unit): 0.00
Crystal system: tetragonal

Unit cell a=3.666 b=3.666 c=7.876 alpha=90.00 beta=90.00 gamma=90.00
Fractional coordinates of all 4 atoms:
Al (0.000, 0.000, 0.375)
Hg (0.000, 0.000, 0.830)
La (0.500, 0.500, 0.124)
Dy (0.500, 0.500, 0.599)

=====

Entry from Alexandria via LeMat-Bulk: a relaxed structure of DyLuAlHg (GGA-PBE).

Energy (eV per atom): -3.680
Energy of formation from the pure elements (eV per atom): -0.388
Crystal system: cubic

Unit cell a=5.154 b=5.154 c=5.154 alpha=60.00 beta=60.00 gamma=60.00
Fractional coordinates of all 4 atoms:
Al (0.250, 0.250, 0.250)
Hg (0.750, 0.750, 0.750)
Dy (0.000, 0.000, 0.000)
Lu (0.500, 0.500, 0.500)

=====

Entry from Alexandria via LeMat-Bulk: a relaxed structure of DyMgAlHg (GGA-PBE).

Energy (eV per atom): -2.877
Energy of formation from the pure elements (eV per atom): -0.317
Crystal system: cubic

Unit cell a=5.025 b=5.025 c=5.025 alpha=60.00 beta=60.00 gamma=60.00
Fractional coordinates of all 4 atoms:
Hg (0.250, 0.250, 0.250)
Dy (0.500, 0.500, 0.500)
Mg (0.000, 0.000, 0.000)
Al (0.750, 0.750, 0.750)

=====

Entry from Alexandria via LeMat-Bulk: a relaxed structure of Dy2Al4HgPd3 (GGA-PBE).

Energy (eV per atom): -4.716
Energy of formation from the pure elements (eV per atom): -0.710
Crystal system: tetragonal

Unit cell a=4.248 b=4.248 c=10.728 alpha=90.00 beta=90.00 gamma=90.00
Fractional coordinates of all 10 atoms:
Al (0.500, 0.000, 0.644)
Pd (0.000, 0.000, 0.500)
Dy (0.500, 0.000, 0.239)
Pd (0.000, 0.500, 0.130)
Al (0.500, 0.500, 0.000)
Pd (0.500, 0.000, 0.870)
Al (0.000, 0.500, 0.356)
Dy (0.000, 0.500, 0.761)
Hg (0.500, 0.500, 0.500)
Al (0.000, 0.000, 0.000)

=====

Entry from Alexandria via LeMat-Bulk: a relaxed structure of DyAlHgPd (GGA-PBE).

Energy (eV per atom): -4.025
Energy of formation from the pure elements (eV per atom): -0.565
Crystal system: cubic

Unit cell a=4.832 b=4.832 c=4.832 alpha=60.00 beta=60.00 gamma=60.00
Fractional coordinates of all 4 atoms:
Hg (0.500, 0.500, 0.500)
Al (0.250, 0.250, 0.250)
Pd (0.000, 0.000, 0.000)
Dy (0.750, 0.750, 0.750)

=====

Entry from Alexandria via LeMat-Bulk: a relaxed structure of PmDyAlHg (GGA-PBE).

Energy (eV per atom): -3.783
Energy of formation from the pure elements (eV per atom): -0.434
Relative energy among the computed polymorphs (eV per formula unit): 0.00
Crystal system: tetragonal

Unit cell a=3.555 b=3.555 c=8.039 alpha=90.00 beta=90.00 gamma=90.00
Fractional coordinates of all 4 atoms:
Dy (0.000, 0.000, 0.366)
Hg (0.500, 0.500, 0.119)
Al (0.500, 0.500, 0.599)
Pm (0.000, 0.000, 0.844)

=====

Entry from Alexandria via LeMat-Bulk: a relaxed structure of PmDyAlHg (GGA-PBE).

Energy (eV per atom): -3.742
Energy of formation from the pure elements (eV per atom): -0.392
Relative energy among the computed polymorphs (eV per formula unit): 0.17
Crystal system: cubic

Unit cell a=5.277 b=5.277 c=5.277 alpha=60.00 beta=60.00 gamma=60.00
Fractional coordinates of all 4 atoms:
Pm (0.500, 0.500, 0.500)
Dy (0.000, 0.000, 0.000)
Hg (0.250, 0.250, 0.250)
Al (0.750, 0.750, 0.750)

=====

Entry from Alexandria via LeMat-Bulk: a relaxed structure of Dy2Al4HgPt3 (GGA-PBE).

Energy (eV per atom): -5.169
Energy of formation from the pure elements (eV per atom): -0.909
Crystal system: tetragonal

Unit cell a=4.254 b=4.254 c=10.651 alpha=90.00 beta=90.00 gamma=90.00
Fractional coordinates of all 10 atoms:
Dy (0.500, 0.000, 0.238)
Al (0.500, 0.000, 0.642)
Pt (0.000, 0.000, 0.500)
Dy (0.000, 0.500, 0.762)
Al (0.000, 0.000, 0.000)
Al (0.000, 0.500, 0.358)
Al (0.500, 0.500, 0.000)
Hg (0.500, 0.500, 0.500)
Pt (0.500, 0.000, 0.869)
Pt (0.000, 0.500, 0.131)

=====

Entry from Alexandria via LeMat-Bulk: a relaxed structure of DyPuAlHg (GGA-PBE).

Energy (eV per atom): -5.953
Energy of formation from the pure elements (eV per atom): -0.209
Crystal system: cubic

Unit cell a=5.223 b=5.223 c=5.223 alpha=60.00 beta=60.00 gamma=60.00
Fractional coordinates of all 4 atoms:
Hg (0.250, 0.250, 0.250)
Pu (0.500, 0.500, 0.500)
Dy (0.000, 0.000, 0.000)
Al (0.750, 0.750, 0.750)

=====

Entry from Alexandria via LeMat-Bulk: a relaxed structure of Dy3Al3Hg2Rh (GGA-PBE).

Energy (eV per atom): -4.295
Energy of formation from the pure elements (eV per atom): -0.630
Crystal system: hexagonal

Unit cell a=4.097 b=7.399 c=7.399 alpha=120.00 beta=90.00 gamma=90.00
Fractional coordinates of all 9 atoms:
Dy (0.000, 0.399, 0.000)
Hg (0.500, 0.333, 0.667)
Rh (0.000, 0.000, 0.000)
Hg (0.500, 0.667, 0.333)
Dy (0.000, 0.000, 0.399)
Al (0.500, 0.226, 0.226)
Al (0.500, 0.774, 0.000)
Al (0.500, 0.000, 0.774)
Dy (0.000, 0.601, 0.601)

=====

Entry from Alexandria via LeMat-Bulk: a relaxed structure of Dy3Al3Hg2Ru (GGA-PBE).

Energy (eV per atom): -4.391
Energy of formation from the pure elements (eV per atom): -0.511
Crystal system: hexagonal

Unit cell a=4.395 b=7.147 c=7.147 alpha=120.00 beta=90.00 gamma=90.00
Fractional coordinates of all 9 atoms:
Al (0.500, 0.779, 0.000)
Dy (0.000, 0.603, 0.603)
Al (0.500, 0.000, 0.779)
Ru (0.000, 0.000, 0.000)
Dy (0.000, 0.000, 0.397)
Hg (0.500, 0.333, 0.667)
Al (0.500, 0.221, 0.221)
Dy (0.000, 0.397, 0.000)
Hg (0.500, 0.667, 0.333)

=====

Entry from Alexandria via LeMat-Bulk: a relaxed structure of DySc2AlHg4 (GGA-PBE).

Energy (eV per atom): -3.089
Energy of formation from the pure elements (eV per atom): -0.312
Crystal system: trigonal

Unit cell a=4.928 b=4.928 c=8.984 alpha=74.08 beta=74.08 gamma=60.00
Fractional coordinates of all 8 atoms:
Hg (0.621, 0.621, 0.138)
Dy (0.000, 0.000, 0.000)
Al (0.500, 0.500, 0.500)
Hg (0.379, 0.379, 0.862)
Hg (0.124, 0.124, 0.627)
Sc (0.242, 0.242, 0.274)
Sc (0.758, 0.758, 0.726)
Hg (0.876, 0.876, 0.373)

=====

Entry from Alexandria via LeMat-Bulk: a relaxed structure of SrDyAlHg (GGA-PBE).

Energy (eV per atom): -2.879
Energy of formation from the pure elements (eV per atom): -0.297
Crystal system: cubic

Unit cell a=5.406 b=5.406 c=5.406 alpha=60.00 beta=60.00 gamma=60.00
Fractional coordinates of all 4 atoms:
Al (0.500, 0.500, 0.500)
Dy (0.750, 0.750, 0.750)
Hg (0.000, 0.000, 0.000)
Sr (0.250, 0.250, 0.250)

=====

Entry from Alexandria via LeMat-Bulk: a relaxed structure of TbDyAlHg (GGA-PBE).

Energy (eV per atom): -3.755
Energy of formation from the pure elements (eV per atom): -0.436
Relative energy among the computed polymorphs (eV per formula unit): 0.00
Crystal system: tetragonal

Unit cell a=3.598 b=3.598 c=7.644 alpha=90.00 beta=90.00 gamma=90.00
Fractional coordinates of all 4 atoms:
Dy (0.000, 0.000, 0.367)
Hg (0.500, 0.500, 0.110)
Tb (0.000, 0.000, 0.846)
Al (0.500, 0.500, 0.605)

=====

Entry from Alexandria via LeMat-Bulk: a relaxed structure of TbDyAlHg (GGA-PBE).

Energy (eV per atom): -3.721
Energy of formation from the pure elements (eV per atom): -0.402
Relative energy among the computed polymorphs (eV per formula unit): 0.13
Crystal system: cubic

Unit cell a=5.218 b=5.218 c=5.218 alpha=60.00 beta=60.00 gamma=60.00
Fractional coordinates of all 4 atoms:
Tb (0.000, 0.000, 0.000)
Al (0.250, 0.250, 0.250)
Hg (0.750, 0.750, 0.750)
Dy (0.500, 0.500, 0.500)

=====

Entry from Alexandria via LeMat-Bulk: a relaxed structure of DyThAlHg (GGA-PBE).

Energy (eV per atom): -4.310
Energy of formation from the pure elements (eV per atom): -0.293
Crystal system: cubic

Unit cell a=5.286 b=5.286 c=5.286 alpha=60.00 beta=60.00 gamma=60.00
Fractional coordinates of all 4 atoms:
Th (0.500, 0.500, 0.500)
Dy (0.000, 0.000, 0.000)
Al (0.250, 0.250, 0.250)
Hg (0.750, 0.750, 0.750)

=====

Entry from Alexandria via LeMat-Bulk: a relaxed structure of Dy4AlZn2Hg (GGA-PBE).

Energy (eV per atom): -3.513
Energy of formation from the pure elements (eV per atom): -0.388
Crystal system: trigonal

Unit cell a=5.115 b=5.115 c=8.888 alpha=73.28 beta=73.28 gamma=60.00
Fractional coordinates of all 8 atoms:
Dy (0.127, 0.127, 0.620)
Zn (0.248, 0.248, 0.256)
Zn (0.752, 0.752, 0.744)
Al (0.500, 0.500, 0.500)
Dy (0.377, 0.377, 0.870)
Dy (0.623, 0.623, 0.130)
Dy (0.873, 0.873, 0.380)
Hg (0.000, 0.000, 0.000)

=====

Entry from Alexandria via LeMat-Bulk: a relaxed structure of DyAlZnHg (GGA-PBE).

Energy (eV per atom): -2.751
Energy of formation from the pure elements (eV per atom): -0.270
Crystal system: cubic

Unit cell a=4.897 b=4.897 c=4.897 alpha=60.00 beta=60.00 gamma=60.00
Fractional coordinates of all 4 atoms:
Hg (0.500, 0.500, 0.500)
Dy (0.750, 0.750, 0.750)
Al (0.250, 0.250, 0.250)
Zn (0.000, 0.000, 0.000)

=====

Entry from Alexandria via LeMat-Bulk: a relaxed structure of Dy4Al2ZnHg (GGA-PBE).

Energy (eV per atom): -3.823
Energy of formation from the pure elements (eV per atom): -0.390
Crystal system: trigonal

Unit cell a=5.137 b=5.137 c=8.909 alpha=73.24 beta=73.24 gamma=60.00
Fractional coordinates of all 8 atoms:
Zn (0.500, 0.500, 0.500)
Al (0.750, 0.750, 0.750)
Al (0.250, 0.250, 0.250)
Hg (0.000, 0.000, 0.000)
Dy (0.378, 0.378, 0.867)
Dy (0.127, 0.127, 0.618)
Dy (0.873, 0.873, 0.382)
Dy (0.622, 0.622, 0.133)

=====

Entry from Alexandria via LeMat-Bulk: a relaxed structure of DyZrAlHg (GGA-PBE).

Energy (eV per atom): -4.568
Energy of formation from the pure elements (eV per atom): -0.269
Crystal system: cubic

Unit cell a=5.034 b=5.034 c=5.034 alpha=60.00 beta=60.00 gamma=60.00
Fractional coordinates of all 4 atoms:
Hg (0.000, 0.000, 0.000)
Al (0.500, 0.500, 0.500)
Dy (0.750, 0.750, 0.750)
Zr (0.250, 0.250, 0.250)

=====

Entry from Alexandria via LeMat-Bulk: a relaxed structure of Dy6HoAl2 (GGA-PBE).

Energy (eV per atom): -3.883
Energy of formation from the pure elements (eV per atom): 0.526
Relative energy among the computed polymorphs (eV per formula unit): 6.23
Crystal system: tetragonal

Unit cell a=4.763 b=4.763 c=14.224 alpha=99.64 beta=99.64 gamma=90.00
Fractional coordinates of all 9 atoms:
Al (0.815, 0.815, 0.629)
Dy (0.250, 0.750, 0.500)
Dy (0.356, 0.851, 0.206)
Dy (0.149, 0.149, 0.794)
Dy (0.750, 0.250, 0.500)
Ho (0.500, 0.500, 0.000)
Dy (0.851, 0.356, 0.206)
Dy (0.644, 0.644, 0.794)
Al (0.185, 0.185, 0.371)

=====

Entry from Alexandria via LeMat-Bulk: a relaxed structure of DyHoAl (GGA-PBE).

Energy (eV per atom): -4.576
Energy of formation from the pure elements (eV per atom): -0.268
Relative energy among the computed polymorphs (eV per formula unit): 0.00
Crystal system: hexagonal

Unit cell a=5.226 b=5.226 c=6.631 alpha=90.00 beta=90.00 gamma=120.00
Fractional coordinates of all 6 atoms:
Al (0.667, 0.333, 0.750)
Dy (0.000, 0.000, 0.500)
Ho (0.333, 0.667, 0.750)
Al (0.333, 0.667, 0.250)
Dy (0.000, 0.000, 0.000)
Ho (0.667, 0.333, 0.250)

=====

Entry from Alexandria via LeMat-Bulk: a relaxed structure of DyHo3Al2 (GGA-PBE).

Energy (eV per atom): -4.499
Energy of formation from the pure elements (eV per atom): -0.195
Relative energy among the computed polymorphs (eV per formula unit): 0.59
Crystal system: orthorhombic

Unit cell a=4.777 b=8.768 c=8.899 alpha=119.51 beta=105.57 gamma=90.00
Fractional coordinates of all 12 atoms:
Ho (0.500, 0.750, 0.000)
Ho (0.500, 0.250, 0.000)
Al (0.342, 0.842, 0.684)
Al (0.658, 0.658, 0.316)
Dy (0.000, 0.000, 0.000)
Ho (0.826, 0.576, 0.652)
Al (0.658, 0.158, 0.316)
Ho (0.174, 0.924, 0.348)
Al (0.342, 0.342, 0.684)
Ho (0.174, 0.424, 0.348)
Dy (0.000, 0.500, 0.000)
Ho (0.826, 0.076, 0.652)

=====

Entry from Alexandria via LeMat-Bulk: a relaxed structure of Dy12Ho7Al (GGA-PBE).

Energy (eV per atom): -4.457
Energy of formation from the pure elements (eV per atom): 0.093
Crystal system: trigonal

Unit cell a=8.618 b=8.618 c=8.618 alpha=99.35 beta=99.35 gamma=99.35
Fractional coordinates of all 20 atoms:
Dy (0.000, 0.253, 0.747)
Dy (0.253, 0.747, 0.000)
Ho (0.500, 0.500, 0.500)
Dy (0.597, 0.165, 0.596)
Dy (0.747, 0.000, 0.253)
Ho (0.857, 0.857, 0.589)
Dy (0.000, 0.747, 0.253)
Ho (0.411, 0.143, 0.143)
Ho (0.143, 0.143, 0.411)
Dy (0.596, 0.597, 0.165)
Dy (0.835, 0.404, 0.403)
Ho (0.857, 0.589, 0.857)
Ho (0.143, 0.411, 0.143)
Dy (0.403, 0.835, 0.404)
Dy (0.404, 0.403, 0.835)
Dy (0.165, 0.596, 0.597)
Dy (0.747, 0.253, 0.000)
Dy (0.253, 0.000, 0.747)
Al (0.000, 0.000, 0.000)
Ho (0.589, 0.857, 0.857)